--- a ---
Below is a geometry-optimized BeTlCr2 structure, with properties calculated at the PBE level.

Cell lengths 4.2767, 4.2767, 4.2767 Å; angles 60.00, 60.00, 60.00 degrees
Element x y z (fractional)
1 Be 0.0000 0.0000 0.0000
2 Tl 0.5000 0.5000 0.5000
3 Cr 0.2500 0.2500 0.2500
4 Cr 0.7500 0.7500 0.7500

--- b ---
Below is a geometry-optimized BeTlCr2 structure, with properties calculated at the PBE level.

Cell lengths 3.0693, 3.0693, 5.9468 Å; angles 90.00, 90.00, 90.00 degrees
Element x y z (fractional)
1 Be 0.0000 0.0000 0.0000
2 Tl 0.0000 0.0000 0.5000
3 Cr 0.5000 0.5000 0.1681
4 Cr 0.5000 0.5000 0.8319

Which of them is the most stable, and which is the least stable? b and a, in that order.

--- a ---
Below is a geometry-optimized MnCr2Ru structure, with properties calculated at the PBE level.

Cell lengths 4.1449, 4.1449, 2.9746 Å; angles 90.00, 90.00, 90.00 degrees
Element x y z (fractional)
1 Mn 0.0000 0.0000 0.0000
2 Cr 0.0000 0.5000 0.5000
3 Cr 0.5000 0.0000 0.5000
4 Ru 0.5000 0.5000 0.0000

--- b ---
Below is a geometry-optimized MnCr2Ru structure, with properties calculated at the PBE level.

Cell lengths 4.8158, 4.8158, 4.8158 Å; angles 144.31, 129.59, 63.29 degrees
Element x y z (fractional)
1 Mn 0.0000 0.0000 0.0000
2 Cr 0.2445 0.7445 0.5000
3 Cr 0.7555 0.2555 0.5000
4 Ru 0.5000 0.5000 0.0000

Which of them is the most stable, and which is the least stable? b and a, in that order.

--- a ---
Below is a geometry-optimized CaScTl structure, with properties calculated at the PBE level.

Cell lengths 6.1371, 6.1371, 6.1371 Å; angles 119.65, 115.16, 94.60 degrees
Element x y z (fractional)
1 Ca 0.3783 0.1283 0.2500
2 Ca 0.6217 0.8717 0.7500
3 Sc 0.0000 0.0000 0.5000
4 Sc 0.0000 0.5000 0.0000
5 Tl 0.0000 0.5000 0.5000
6 Tl 0.5000 0.5000 0.0000

--- b ---
Below is a geometry-optimized CaScTl structure, with properties calculated at the PBE level.

Cell lengths 8.4782, 3.4609, 11.3292 Å; angles 90.00, 90.00, 90.00 degrees
Element x y z (fractional)
1 Ca 0.1702 0.2500 0.0856
2 Ca 0.3298 0.7500 0.5856
3 Ca 0.6702 0.2500 0.4144
4 Ca 0.8298 0.7500 0.9144
5 Sc 0.0704 0.2500 0.3789
6 Sc 0.4296 0.7500 0.8789
7 Sc 0.5704 0.2500 0.1211
8 Sc 0.9296 0.7500 0.6211
9 Tl 0.1368 0.2500 0.7975
10 Tl 0.3632 0.7500 0.2975
11 Tl 0.6368 0.2500 0.7025
12 Tl 0.8632 0.7500 0.2025

Which of them is the most stable, and which is the least stable? a and b, in that order.

--- a ---
Below is a geometry-optimized InRu2Br structure, with properties calculated at the PBE level.

Cell lengths 8.5799, 8.5799, 8.5799 Å; angles 20.61, 20.61, 20.61 degrees
Element x y z (fractional)
1 In 0.0000 0.0000 0.0000
2 Ru 0.2471 0.2471 0.2471
3 Ru 0.7529 0.7529 0.7529
4 Br 0.5000 0.5000 0.5000

--- b ---
Below is a geometry-optimized InRu2Br structure, with properties calculated at the PBE level.

Cell lengths 4.5417, 3.0878, 5.2723 Å; angles 90.00, 111.14, 90.00 degrees
Element x y z (fractional)
1 In 0.0000 0.0000 0.0000
2 Ru 0.5000 0.0000 0.5000
3 Ru 0.5000 0.5000 0.0000
4 Br 0.0000 0.5000 0.5000

Which of them is the most stable, and which is the least stable? a and b, in that order.